w.
# ScTa3Ag (GGA-PBE, optimized geometry)
# Space-group type   Pm-3m (221)
# Crystal system   cubic
# Volume   23.99 Å³ per atom
# N(E_F)   1.775 states/eV per atom
# Theoretical density   9630 kg/m³
# Total magnetic moment   0.0 μB/cell
data_ScTa3Ag
_symmetry_space_group_name_H-M 'P 1'
_symmetry_Int_Tables_number 1
_cell_length_a 4.9319
_cell_length_b 4.9319
_cell_length_c 4.9319
_cell_angle_alpha 90.00
_cell_angle_beta 90.00
_cell_angle_gamma 90.00
loop_
_symmetry_equiv_pos_as_xyz
'x,y,z'
loop_
_atom_site_label
_atom_site_fract_x
_atom_site_fract_y
_atom_site_fract_z
Sc1 0.0000 0.0000 0.0000
Ta1 0.0000 0.5000 0.5000
Ta2 0.5000 0.0000 0.5000
Ta3 0.5000 0.5000 0.0000
Ag1 0.5000 0.5000 0.5000

x.
# ScTa3Ag (GGA-PBE, optimized geometry)
# Space-group type   Pm-3m (221)
# Crystal system   cubic
# Volume   21.47 Å³ per atom
# N(E_F)   1.507 states/eV per atom
# Theoretical density   10761 kg/m³
# Total magnetic moment   0.0 μB/cell
data_ScTa3Ag
_symmetry_space_group_name_H-M 'P 1'
_symmetry_Int_Tables_number 1
_cell_length_a 4.7527
_cell_length_b 4.7527
_cell_length_c 4.7527
_cell_angle_alpha 90.00
_cell_angle_beta 90.00
_cell_angle_gamma 90.00
loop_
_symmetry_equiv_pos_as_xyz
'x,y,z'
loop_
_atom_site_label
_atom_site_fract_x
_atom_site_fract_y
_atom_site_fract_z
Sc1 0.0000 0.0000 0.0000
Ta1 0.0000 0.0000 0.5000
Ta2 0.0000 0.5000 0.0000
Ta3 0.5000 0.0000 0.0000
Ag1 0.5000 0.5000 0.5000

w is preferred energetically. Next in line: 217 meV per atom higher.